(1)
## Tl2NiAsF (SCAN)

Data for Tl2NiAsF at its PBEsol-relaxed geometry.

Cell: 3.6257 5.2589 5.2589 Å, 90.00 90.00 90.00°
Fractional coordinates of all 5 atoms:
F  0.5000  0.0000  0.0000
As  0.5000  0.5000  0.5000
Ni  0.0000  0.0000  0.0000
Tl  0.0000  0.5000  0.0000
Tl  0.0000  0.0000  0.5000

Output
Space-group type   P4/mmm (123)
Raw formation energy   -0.316 eV/atom
Total moment   0.00 μB/f.u.
Calculated density   9.30 g cm⁻³
Calculated volume   100.3 Å³ per cell

***

(2)
## ReSb2N (SCAN)

Data for ReSb2N at its PBEsol-relaxed geometry.

Cell: 5.7531 6.2726 5.7531 Å, 117.30 90.00 117.30°
Fractional coordinates of all 8 atoms:
Sb  0.8251  0.2500  0.8750
Sb  0.4249  0.2500  0.3750
Sb  0.6250  0.7500  0.1749
Sb  0.1250  0.7500  0.5751
Re  0.0000  0.0000  0.0000
Re  0.2500  0.5000  0.7500
N  0.7500  0.5000  0.2500
N  0.5000  0.0000  0.5000

Output
Space-group type   I-42d (122)
Raw formation energy   0.967 eV/atom
Total moment   0.00 μB/f.u.
Calculated density   9.33 g cm⁻³
Calculated volume   158.0 Å³ per cell

***

(3)
## Ru4C (SCAN)

Data for Ru4C at its PBEsol-relaxed geometry.

Cell: 4.3977 4.3977 4.3977 Å, 109.47 109.47 109.47°
Fractional coordinates of all 5 atoms:
Ru  0.0000  0.0000  0.5000
Ru  0.0000  0.5000  0.0000
Ru  0.5000  0.0000  0.0000
Ru  0.5000  0.5000  0.5000
C  0.0000  0.0000  0.0000

Output
Space-group type   Im-3m (229)
Total moment   0.00 μB/f.u.
Energy relative to the elements   1.066 eV per atom
Calculated density   10.56 g cm⁻³
Calculated volume   65.5 Å³ per cell

***

(4)
## CdNi3S (SCAN)

Data for CdNi3S at its PBEsol-relaxed geometry.

Cell: 4.5782 4.5782 4.5782 Å, 90.00 90.00 90.00°
Fractional coordinates of all 5 atoms:
Ni  0.0000  0.0000  0.5000
Ni  0.0000  0.5000  0.0000
Ni  0.5000  0.0000  0.0000
S  0.5000  0.5000  0.5000
Cd  0.0000  0.0000  0.0000

Output
Space-group type   Pm-3m (221)
Raw formation energy   1.448 eV/atom
Total moment   3.03 μB/f.u.
Calculated density   5.55 g cm⁻³
Calculated volume   96.0 Å³ per cell